(1)
LaNbBrF2 | PBE | relaxed

Structure (POSCAR):
```
LaNbBrF2
1.0
4.293 0.000 0.000
0.000 4.293 0.000
0.000 0.000 5.940
La Nb Br F
1 1 1 2
Cartesian
0.000 0.000 0.000
0.000 0.000 2.970
2.147 2.147 0.000
0.000 2.147 2.970
2.147 0.000 2.970
```

Results
Total magnetic moment: 1.67 Bohr magnetons per cell
Crystal system: tetragonal
Raw formation energy: -1631 meV per atom

(2)
RbPtN2 | PBE | relaxed

Structure (POSCAR):
```
RbPtN2
1.0
1.685 0.973 6.842
-1.685 0.973 6.842
0.000 -1.946 6.842
Rb Pt N
1 1 2
Cartesian
0.000 0.000 0.000
0.000 0.000 10.263
0.000 0.000 2.591
0.000 0.000 17.935
```

Results
Total magnetic moment: 0.00 Bohr magnetons per cell
Crystal system: trigonal
Offset from the most stable computed form: 258 meV/atom
Raw formation energy: 914 meV per atom

(3)
AcPr2Ta | PBE | relaxed

Structure (POSCAR):
```
AcPr2Ta
1.0
1.725 0.996 12.472
-1.725 0.996 12.472
0.000 -1.992 12.472
Ac Pr Ta
1 2 1
Cartesian
0.000 0.000 0.000
0.000 0.000 15.763
0.000 0.000 21.652
0.000 0.000 18.707
```

Results
Total magnetic moment: 0.00 Bohr magnetons per cell
Crystal system: trigonal
ΔH_f (0 K): 0.806 eV per atom

Summary of E in eV/f.u.
-28.568 -20.002 -22.295
(order as listed above)